(1)
This record from OQMD via LeMat-Bulk describes a geometry-optimized PrMgPt structure. The functional is PBE-GGA.

Output
E_tot: -4.76 eV per atom

Unit cell a=7.896 b=7.896 c=4.061 alpha=90.00 beta=90.00 gamma=120.00
Element x y z (fractional)
Pr  0.000  0.272  0.000
Pr  0.272  0.000  0.000
Pr  0.728  0.728  0.000
Mg  0.000  0.605  0.500
Mg  0.395  0.395  0.500
Mg  0.605  0.000  0.500
Pt  0.000  0.000  0.500
Pt  0.333  0.667  0.000
Pt  0.667  0.333  0.000



(2)
This record from OQMD via LeMat-Bulk describes a geometry-optimized ZrW structure. The functional is PBE-GGA.

Output
Energy of formation from the pure elements: 0.117 eV per atom

Unit cell a=4.762 b=6.644 c=9.584 alpha=90.00 beta=90.00 gamma=90.00
Element x y z (fractional)
Zr  0.250  0.002  0.123
Zr  0.250  0.250  0.384
Zr  0.250  0.250  0.842
Zr  0.250  0.498  0.123
Zr  0.750  0.502  0.877
Zr  0.750  0.750  0.158
Zr  0.750  0.750  0.616
Zr  0.750  0.998  0.877
W  0.250  0.506  0.617
W  0.250  0.750  0.389
W  0.250  0.750  0.844
W  0.250  0.994  0.617
W  0.750  0.006  0.383
W  0.750  0.250  0.156
W  0.750  0.250  0.611
W  0.750  0.494  0.383



(3)
This record from OQMD via LeMat-Bulk describes a geometry-optimized Zr4CuPt structure. The functional is PBE-GGA.

Output
Energy of formation from the pure elements: -0.419 eV per atom

Unit cell a=3.313 b=3.313 c=10.899 alpha=90.00 beta=90.00 gamma=90.00
Element x y z (fractional)
Zr  0.000  0.000  0.154
Zr  0.000  0.000  0.846
Zr  0.500  0.500  0.344
Zr  0.500  0.500  0.656
Cu  0.500  0.500  0.000
Pt  0.000  0.000  0.500